(1)
YInRuO6 (PBE, optimized geometry); E_form (uncorrected) = -1.6912 eV per atom; raw total energy = -7.050 eV per atom; density = 5.5 g/cm3
1.0
5.390 0.000 0.000
-2.695 4.668 0.000
0.000 0.000 9.586
In O Y Ru
2 12 2 2
Cartesian
2.695 1.556 7.190
0.000 3.112 2.397
-1.608 3.096 8.288
1.905 0.156 1.298
-0.790 4.512 6.092
-0.818 1.728 6.092
4.302 1.572 1.298
1.877 2.940 1.298
0.818 1.728 8.288
3.513 2.940 3.495
1.608 3.096 6.092
1.087 1.572 3.495
3.485 0.156 3.495
0.790 4.512 8.288
0.000 0.000 4.793
0.000 0.000 0.000
0.000 3.112 7.190
2.695 1.556 2.397

(2)
YIn2RuO8 (PBE, optimized geometry); E_form (uncorrected) = -1.5278 eV per atom; raw total energy = -6.601 eV per atom; density = 5.6 g/cm3
1.0
4.959 -0.052 -0.003
-0.029 4.941 -0.005
0.004 0.007 6.601
O In Y Ru
8 2 1 1
Cartesian
1.545 1.507 3.298
4.047 0.887 1.382
3.524 3.517 -0.006
3.389 3.389 3.295
0.887 4.010 5.211
1.409 1.379 6.599
0.885 4.006 1.380
4.049 0.891 5.213
2.468 2.450 4.960
2.466 2.446 1.633
0.002 0.004 3.301
0.000 0.000 0.000

(3)
Zn2InRuO6 (PBE, optimized geometry); E_form (uncorrected) = -1.2166 eV per atom; raw total energy = -5.648 eV per atom; density = 5.9 g/cm3
1.0
5.483 -0.467 -0.484
1.238 6.635 0.184
1.238 -0.062 6.637
O Zn In Ru
12 4 2 2
Cartesian
6.281 4.310 3.261
6.560 1.911 5.258
3.539 3.333 4.670
2.894 6.441 5.355
2.323 1.226 -0.056
5.065 -0.335 0.981
1.399 4.195 1.079
5.635 4.880 6.393
4.140 0.689 3.990
4.419 2.773 1.666
3.818 5.417 2.347
1.678 1.796 3.075
2.443 2.574 1.409
5.184 1.079 2.382
2.774 5.027 3.955
5.516 3.532 4.928
5.350 0.186 5.697
2.609 5.920 0.639
5.350 4.457 1.582
2.609 1.649 4.754

(4)
InSO (PBE, optimized geometry); E_form (uncorrected) = -0.9260 eV per atom; raw total energy = -4.867 eV per atom; density = 4.8 g/cm3
1.0
-0.411 0.722 -4.089
-3.470 -1.250 0.128
-4.362 12.800 6.756
S O In
4 4 4
Cartesian
-2.514 7.281 2.947
-2.068 0.256 -0.367
-6.174 12.015 3.162
-2.258 6.240 -0.280
-3.483 10.090 4.112
-3.037 3.065 0.798
-1.289 3.431 -1.446
-5.205 9.206 1.996
-0.860 2.438 0.488
-3.466 4.059 -1.135
-3.912 11.084 2.179
-4.776 8.213 3.930

(5)
InSO (PBE, optimized geometry); E_form (uncorrected) = -0.7649 eV per atom; raw total energy = -4.706 eV per atom; density = 4.6 g/cm3
1.0
4.015 0.000 0.000
0.198 4.040 0.000
1.649 1.399 7.244
O S In
2 2 2
Cartesian
1.253 3.738 2.182
2.483 1.260 5.564
4.166 3.907 3.361
2.902 1.524 0.159
4.513 1.913 4.927
0.876 3.042 0.228

(6)
InSO (PBE, optimized geometry); E_form (uncorrected) = -0.7182 eV per atom; raw total energy = -4.660 eV per atom; density = 5.1 g/cm3
1.0
3.910 0.000 0.000
0.538 4.013 0.000
1.861 -0.168 6.712
In O S
2 2 2
Cartesian
3.276 2.313 0.226
2.220 0.241 4.238
1.986 2.352 4.973
4.115 0.978 3.184
3.367 0.336 6.707
4.182 2.520 2.601

(7)
InSO3 (PBE, optimized geometry); E_form (uncorrected) = -0.2521 eV per atom; raw total energy = -4.600 eV per atom; density = 5.8 g/cm3
1.0
3.814 0.000 0.000
0.000 3.814 0.000
0.000 0.000 3.814
In O S
1 3 1
Cartesian
1.907 1.907 1.907
0.000 1.907 0.000
1.907 0.000 0.000
0.000 0.000 1.907
0.000 0.000 0.000

(8)
In2S3O12 (PBE, optimized geometry); E_form (uncorrected) = -1.4304 eV per atom; raw total energy = -5.981 eV per atom; relative energy among the computed polymorphs = 3 meV/atom; density = 3.6 g/cm3
1.0
-7.879 -0.585 3.559
3.707 -2.283 7.831
0.724 11.801 3.098
O S In
48 12 8
Cartesian
-2.766 2.857 2.223
-6.477 -0.316 3.980
-1.099 2.125 7.106
2.523 6.908 10.854
-1.900 6.048 10.164
0.027 7.173 6.987
3.029 9.249 10.508
-4.163 2.391 10.871
-1.256 9.857 7.281
1.403 3.688 7.401
-0.682 6.076 12.265
-3.431 6.966 13.066
-4.806 4.629 10.108
-3.475 1.760 7.501
-2.398 3.749 8.360
-3.919 9.676 9.055
0.211 4.862 10.386
0.714 6.542 3.617
-1.655 4.877 2.952
-1.050 5.184 6.128
-6.462 4.221 5.602
1.640 9.650 5.980
-1.829 1.580 9.305
1.100 1.574 5.144
-4.549 7.359 9.344
-0.357 -1.515 8.620
3.013 4.712 8.886
-1.669 8.985 11.797
-5.711 1.031 5.857
-0.234 8.814 9.854
-3.091 10.448 5.868
1.813 0.357 7.122
-0.017 1.967 1.422
-1.619 7.353 5.183
-2.192 -0.924 7.207
-5.261 8.576 7.366
0.471 -0.744 5.433
-3.215 0.119 4.634
-1.548 2.885 4.324
-1.779 -0.052 2.691
-2.349 6.808 7.382
-3.660 4.071 4.103
-1.794 4.055 11.536
2.262 7.902 8.631
-4.851 5.245 7.087
-5.971 2.025 3.634
1.357 4.304 4.380
-5.088 -0.717 8.508
2.814 4.139 7.534
-1.234 6.622 6.420
3.058 7.906 9.889
-4.989 8.673 8.825
-2.404 3.676 3.400
-2.706 -0.801 3.581
-2.215 2.311 8.068
-1.045 5.257 11.088
1.541 0.260 5.663
-0.742 9.734 10.907
-6.506 1.027 4.599
-6.263 4.794 6.954
-2.074 1.909 11.410
1.709 -1.011 8.815
0.649 9.074 7.844
0.033 3.343 5.752
-5.157 9.944 5.673
-4.098 -0.141 6.645
-1.375 7.024 3.078
-3.481 5.590 8.736

(9)
InS3O (PBE, optimized geometry); E_form (uncorrected) = 1.3418 eV per atom; raw total energy = -2.674 eV per atom; relative energy among the computed polymorphs = 780 meV/atom; density = 2.9 g/cm3
1.0
5.047 0.000 0.000
0.000 5.047 0.000
0.000 0.000 5.047
O S In
1 3 1
Cartesian
2.523 2.523 2.523
2.523 0.000 0.000
0.000 0.000 2.523
0.000 2.523 0.000
0.000 0.000 0.000

(10)
In3S2O2 (PBE, optimized geometry); E_form (uncorrected) = -0.9271 eV per atom; raw total energy = -4.697 eV per atom; density = 5.5 g/cm3
1.0
3.702 -0.004 0.001
-1.846 6.320 -0.758
-0.003 -1.712 5.861
In S O
3 2 2
Cartesian
0.000 1.738 3.842
0.000 0.000 0.000
1.853 2.865 1.262
1.849 -0.092 4.716
0.004 4.695 0.388
1.853 2.969 3.452
0.001 1.634 1.652

(11)
In2S3O12 (PBE, optimized geometry); E_form (uncorrected) = -1.4334 eV per atom; raw total energy = -5.984 eV per atom; relative energy among the computed polymorphs = 0 meV/atom; density = 3.4 g/cm3
1.0
9.279 0.004 0.002
5.300 7.616 0.002
5.300 2.770 7.094
O S In
24 6 4
Cartesian
7.592 6.764 5.636
5.253 4.602 1.490
7.246 4.428 6.184
12.634 5.962 0.915
10.188 1.741 1.878
14.627 5.787 5.610
7.772 7.004 0.939
12.108 3.385 6.160
8.290 4.645 1.173
9.692 8.649 5.221
7.016 5.219 3.902
8.547 2.602 3.444
9.992 4.278 6.938
14.368 7.825 3.353
9.217 8.558 2.846
9.888 6.112 0.161
10.663 1.832 4.254
5.511 2.565 3.746
13.102 8.390 6.071
12.864 5.171 3.198
11.589 5.744 5.927
11.333 7.788 3.655
12.288 3.625 1.464
6.777 2.000 1.028
13.087 4.836 1.769
9.612 1.590 3.237
10.268 8.800 3.862
8.438 5.840 0.304
11.442 4.550 6.795
6.793 5.554 5.330
6.915 3.614 2.469
12.965 6.776 4.630
16.993 8.881 6.068
2.887 1.509 1.031

(12)
InSO (PBE, optimized geometry); E_form (uncorrected) = -0.5767 eV per atom; raw total energy = -4.518 eV per atom; density = 4.5 g/cm3
1.0
-0.880 -7.329 -0.846
-0.078 -0.536 4.720
-6.531 3.261 0.263
O In S
4 4 4
Cartesian
-4.728 -3.461 1.430
-1.501 -5.359 3.659
-6.049 0.329 4.230
-2.745 -1.034 1.739
-3.284 1.502 1.265
-3.763 -2.428 3.178
-0.458 -3.790 0.687
-0.057 -0.397 3.493
-1.898 -1.482 0.405
-5.202 -0.120 2.896
-2.306 -4.620 2.433
-5.533 -2.721 0.204